Entry 1:
This record from Alexandria describes a relaxed VHgO2F crystal. The functional is PBE with a Hubbard U.

The structure in POSCAR format:
```
VHgO2F
1.0
4.2199 0.0000 0.0000
0.0000 4.2199 0.0000
0.0000 0.0000 4.3995
V Hg O F
1 1 2 1
direct
0.0000 0.0000 0.0000
0.5000 0.5000 0.5000
0.0000 0.5000 0.5000
0.5000 0.0000 0.5000
0.5000 0.5000 0.0000
```

Computed properties:
- total DFT energy (no corrections) (eV per atom) = -4.031



Entry 2:
This record from Alexandria describes a relaxed VHgO2F crystal. The functional is PBE with a Hubbard U.

The structure in POSCAR format:
```
VHgO2F
1.0
3.8288 0.0000 0.0000
0.0000 3.8288 0.0000
0.0000 0.0000 4.2344
V Hg O F
1 1 2 1
direct
0.0000 0.0000 0.0000
0.5000 0.5000 0.5000
0.0000 0.5000 0.0000
0.5000 0.0000 0.0000
0.0000 0.0000 0.5000
```

Computed properties:
- total DFT energy (no corrections) (eV per atom) = -5.116



Entry 3:
This record from Alexandria describes a relaxed HgWOF2 crystal. The functional is PBE with a Hubbard U.

The structure in POSCAR format:
```
HgWOF2
1.0
4.4700 0.0000 0.0000
0.0000 4.4700 0.0000
0.0000 0.0000 4.4066
Hg W O F
1 1 1 2
direct
0.0000 0.0000 0.0000
0.5000 0.5000 0.5000
0.0000 0.0000 0.5000
0.0000 0.5000 0.0000
0.5000 0.0000 0.0000
```

Computed properties:
- ΔE to the lowest computed polymorph (eV per atom) = 1.339



Number 1: magnetization 0.60 μB per atom. Number 2: magnetization 0.00 μB per atom. Number 3: magnetization 0.82 μB per atom.